Below is an optimized crystal structure of La3SmSc, with properties calculated at the PBE level.

a b c (Å): 5.164 25.043 5.170
angles (deg): 90.00 90.00 90.00
Space group Cmcm (No. 63)
Unique sites:
La: 0.000 0.052 0.250 (multiplicity 4)
La: 0.000 0.250 0.250 (multiplicity 4)
La: 0.000 0.447 0.250 (multiplicity 4)
Sm: 0.000 0.348 0.750 (multiplicity 4)
Sc: 0.000 0.153 0.750 (multiplicity 4)

Summary:
- Energy: -5.126 eV/atom